Compound: ErTiIn2
Source: Alexandria
Functional: GGA-PBE
Structure: relaxed

Results
- energy of formation from the pure elements (eV per atom) = -0.23
- D(E_F) (states/eV/f.u.) = 2.35
- calculated density (g cm⁻³) = 8.15
- final energy (eV per atom) = -4.713
- SG = P4/mmm

Cell: 4.470 4.503 4.503 Å, 90.00 90.00 90.00°
Sites, in units of the cell vectors:
1 Er 0.500 0.500 0.500
2 Ti 0.500 0.000 0.000
3 In 0.000 0.000 0.500
4 In 0.000 0.500 0.000

---

Compound: ErTiIn2
Source: Alexandria
Functional: GGA-PBE
Structure: relaxed

Results
- energy of formation from the pure elements (eV per atom) = -0.07
- D(E_F) (states/eV/f.u.) = 4.60
- calculated density (g cm⁻³) = 7.76
- final energy (eV per atom) = -4.553
- SG = R-3m

Cell: 3.349 3.349 9.985 Å, 80.35 80.35 60.00°
Sites, in units of the cell vectors:
1 In 0.744 0.744 0.769
2 Ti 0.000 0.000 0.000
3 In 0.256 0.256 0.231
4 Er 0.500 0.500 0.500

---

Compound: ErTiIn
Source: Alexandria
Functional: GGA-PBE
Structure: relaxed

Results
- energy of formation from the pure elements (eV per atom) = -0.19
- D(E_F) (states/eV/f.u.) = 3.56
- calculated density (g cm⁻³) = 7.56
- final energy (eV per atom) = -5.257
- relative energy among the computed polymorphs (meV per atom) = 0.0
- SG = P4/nmm

Cell: 4.250 4.250 8.026 Å, 90.00 90.00 90.00°
Sites, in units of the cell vectors:
1 In 0.336 0.836 0.247
2 In 0.836 0.336 0.753
3 Ti 0.336 0.336 0.500
4 Er 0.836 0.336 0.160
5 Er 0.336 0.836 0.840
6 Ti 0.836 0.836 0.500

---

Compound: ErTiIn2
Source: Alexandria
Functional: GGA-PBE
Structure: relaxed

Results
- energy of formation from the pure elements (eV per atom) = -0.20
- D(E_F) (states/eV/f.u.) = 2.38
- calculated density (g cm⁻³) = 8.14
- final energy (eV per atom) = -4.685
- SG = P4/mmm

Cell: 3.653 3.653 6.799 Å, 90.00 90.00 90.00°
Sites, in units of the cell vectors:
1 Ti 0.500 0.500 0.000
2 In 0.000 0.000 0.778
3 Er 0.500 0.500 0.500
4 In 0.000 0.000 0.222

---

Compound: ErTmTiIn
Source: Alexandria
Functional: GGA-PBE
Structure: relaxed

Results
- energy of formation from the pure elements (eV per atom) = -0.09
- D(E_F) (states/eV/f.u.) = 4.26
- calculated density (g cm⁻³) = 8.32
- final energy (eV per atom) = -5.011
- SG = F-43m

Cell: 5.203 5.203 5.203 Å, 60.00 60.00 60.00°
Sites, in units of the cell vectors:
1 Ti 0.250 0.250 0.250
2 In 0.750 0.750 0.750
3 Er 0.000 0.000 0.000
4 Tm 0.500 0.500 0.500

---

Compound: ErTiZnIn
Source: Alexandria
Functional: GGA-PBE
Structure: relaxed

Results
- energy of formation from the pure elements (eV per atom) = -0.17
- D(E_F) (states/eV/f.u.) = 1.98
- calculated density (g cm⁻³) = 7.95
- final energy (eV per atom) = -4.288
- SG = F-43m

Cell: 4.888 4.888 4.888 Å, 60.00 60.00 60.00°
Sites, in units of the cell vectors:
1 In 0.500 0.500 0.500
2 Er 0.750 0.750 0.750
3 Ti 0.250 0.250 0.250
4 Zn 0.000 0.000 0.000